[1]
# Cd2RhBr PBE-GGA optimized geometry
# * SG: Cm
# * energy above the lowest structure with this stoichiometry: 139 meV per atom
# * total DFT energy (no corrections): -10.992 eV per formula unit
# * M_tot: 0.0 μB per cell
# * formation energy (no corrections): -34 meV per atom
data_Cd2RhBr
_space_group_name_H-M_alt 'P 1'
_space_group_IT_number 1
_cell_length_a 5.016
_cell_length_b 5.016
_cell_length_c 6.815
_cell_angle_alpha 107.45
_cell_angle_beta 107.45
_cell_angle_gamma 38.43
loop_
_space_group_symop_operation_xyz
'x,y,z'
loop_
_atom_site_label
_atom_site_fract_x
_atom_site_fract_y
_atom_site_fract_z
_atom_site_occupancy
Rh1 0.420 0.420 0.622 1
Br1 0.329 0.329 0.236 1
Cd1 0.040 0.040 0.955 1
Cd2 0.711 0.711 0.687 1

***

[2]
# CdRhBr2 PBE-GGA optimized geometry
# * SG: Cm
# * energy above the lowest structure with this stoichiometry: 68 meV per atom
# * total DFT energy (no corrections): -12.266 eV per formula unit
# * M_tot: 0.0 μB per cell
# * formation energy (no corrections): -163 meV per atom
data_CdRhBr2
_space_group_name_H-M_alt 'P 1'
_space_group_IT_number 1
_cell_length_a 5.467
_cell_length_b 5.467
_cell_length_c 7.034
_cell_angle_alpha 66.25
_cell_angle_beta 66.25
_cell_angle_gamma 37.46
loop_
_space_group_symop_operation_xyz
'x,y,z'
loop_
_atom_site_label
_atom_site_fract_x
_atom_site_fract_y
_atom_site_fract_z
_atom_site_occupancy
Rh1 0.303 0.303 0.375 1
Br1 0.896 0.896 0.092 1
Br2 0.732 0.732 0.658 1
Cd1 0.569 0.569 0.375 1

***

[3]
# CdRhBr2 PBE-GGA optimized geometry
# * SG: P2/m
# * energy above the lowest structure with this stoichiometry: 0 meV per atom
# * total DFT energy (no corrections): -12.538 eV per formula unit
# * M_tot: 0.0 μB per cell
# * formation energy (no corrections): -232 meV per atom
data_CdRhBr2
_space_group_name_H-M_alt 'P 1'
_space_group_IT_number 1
_cell_length_a 3.665
_cell_length_b 6.970
_cell_length_c 6.944
_cell_angle_alpha 45.87
_cell_angle_beta 90.00
_cell_angle_gamma 90.00
loop_
_space_group_symop_operation_xyz
'x,y,z'
loop_
_atom_site_label
_atom_site_fract_x
_atom_site_fract_y
_atom_site_fract_z
_atom_site_occupancy
Rh1 0.500 0.750 0.750 1
Br1 0.000 0.881 0.885 1
Br2 0.000 0.619 0.615 1
Cd1 0.500 0.250 0.250 1

***

[4]
# CdRhBr2 PBE-GGA optimized geometry
# * SG: C2/m
# * energy above the lowest structure with this stoichiometry: 242 meV per atom
# * total DFT energy (no corrections): -11.571 eV per formula unit
# * M_tot: 1.0 μB per cell
# * formation energy (no corrections): 10 meV per atom
data_CdRhBr2
_space_group_name_H-M_alt 'P 1'
_space_group_IT_number 1
_cell_length_a 3.884
_cell_length_b 3.884
_cell_length_c 9.218
_cell_angle_alpha 76.17
_cell_angle_beta 76.17
_cell_angle_gamma 56.23
loop_
_space_group_symop_operation_xyz
'x,y,z'
loop_
_atom_site_label
_atom_site_fract_x
_atom_site_fract_y
_atom_site_fract_z
_atom_site_occupancy
Rh1 0.250 0.250 0.250 1
Br1 0.958 0.958 0.090 1
Br2 0.542 0.542 0.410 1
Cd1 0.750 0.750 0.750 1

***

- Among the records above, which one has the lowest total DFT energy (no corrections)?
  number 3

***

- What is the formula in the first record?
  Cd2RhBr